The following is a GGA-PBEsol calculation of an optimized crystal structure of DyNiGe, from Alexandria.

Cell lengths 6.820, 4.178, 7.158 Å; angles 90.00, 90.00, 90.00 degrees
Fractional positions:
Dy (0.009, 0.250, 0.204)
Dy (0.491, 0.750, 0.704)
Dy (0.509, 0.250, 0.296)
Dy (0.991, 0.750, 0.796)
Ni (0.191, 0.750, 0.418)
Ni (0.309, 0.250, 0.918)
Ni (0.691, 0.750, 0.082)
Ni (0.809, 0.250, 0.582)
Ge (0.194, 0.250, 0.589)
Ge (0.306, 0.750, 0.089)
Ge (0.694, 0.250, 0.911)
Ge (0.806, 0.750, 0.411)

The calculated density is 9.6 g cm⁻³. The energy of formation comes out at -0.850 eV/atom. For the calculated total energy, the calculation gives -6.209 eV per atom. Its spin magnetization is 0.00 μB per cell.



The following is a GGA-PBEsol calculation of an optimized crystal structure of BeCdO2, from Alexandria.

Cell lengths 3.441, 3.441, 15.742 Å; angles 90.00, 90.00, 120.00 degrees
Fractional positions:
Be (0.000, 0.000, 0.000)
Be (0.333, 0.667, 0.667)
Be (0.667, 0.333, 0.333)
Cd (0.000, 0.000, 0.500)
Cd (0.333, 0.667, 0.167)
Cd (0.667, 0.333, 0.833)
O (0.000, 0.000, 0.092)
O (0.000, 0.000, 0.908)
O (0.333, 0.667, 0.575)
O (0.333, 0.667, 0.758)
O (0.667, 0.333, 0.242)
O (0.667, 0.333, 0.425)

The calculated density is 4.7 g cm⁻³. As for the uncorrected formation energy: -1.51 eV per atom. For the calculated total energy, the calculation gives -5.430 eV per atom. Its spin magnetization is 0.00 μB per cell.



The following is a GGA-PBEsol calculation of an optimized crystal structure of Cd2AgAu, from Alexandria.

Cell lengths 2.991, 2.991, 8.170 Å; angles 90.00, 90.00, 90.00 degrees
Fractional positions:
Cd (0.000, 0.000, 0.000)
Cd (0.500, 0.500, 0.276)
Ag (0.000, 0.000, 0.520)
Au (0.500, 0.500, 0.757)

The calculated density is 12.0 g cm⁻³. The value obtained for the energy above the most stable polymorph in this dataset is 73.1 meV per atom. The energy of formation comes out at -0.070 eV/atom. For the calculated total energy, the calculation gives -2.477 eV per atom. Its spin magnetization is 0.00 μB per cell.



The following is a GGA-PBEsol calculation of an optimized crystal structure of LiBe2Al, from Alexandria.

Cell lengths 2.549, 3.551, 5.092 Å; angles 90.00, 90.00, 90.00 degrees
Fractional positions:
Li (0.000, 0.000, 0.000)
Be (0.500, 0.500, 0.252)
Be (0.500, 0.500, 0.748)
Al (0.000, 0.000, 0.500)

The calculated density is 1.9 g cm⁻³. The energy of formation comes out at 0.215 eV/atom. For the calculated total energy, the calculation gives -3.300 eV per atom. Its spin magnetization is 0.00 μB per cell.



The following is a GGA-PBEsol calculation of an optimized crystal structure of TlZn2Fe, from Alexandria.

Cell lengths 2.877, 2.877, 8.033 Å; angles 90.00, 90.00, 90.00 degrees
Fractional positions:
Tl (0.000, 0.000, 0.000)
Zn (0.500, 0.500, 0.312)
Zn (0.500, 0.500, 0.688)
Fe (0.000, 0.000, 0.500)

The calculated density is 9.8 g cm⁻³. The value obtained for the energy above the most stable polymorph in this dataset is 0.0 meV per atom. The energy of formation comes out at 0.256 eV/atom. For the calculated total energy, the calculation gives -3.433 eV per atom. Its spin magnetization is 2.16 μB per cell.



The following is a GGA-PBEsol calculation of an optimized crystal structure of BaScOs2, from Alexandria.

Cell lengths 3.022, 4.125, 7.005 Å; angles 90.00, 90.00, 90.00 degrees
Fractional positions:
Ba (0.000, 0.000, 0.000)
Sc (0.000, 0.000, 0.500)
Os (0.500, 0.500, 0.331)
Os (0.500, 0.500, 0.669)

The calculated density is 10.7 g cm⁻³. The value obtained for the energy above the most stable polymorph in this dataset is 0.0 meV per atom. The energy of formation comes out at 0.533 eV/atom. For the calculated total energy, the calculation gives -7.764 eV per atom. Its spin magnetization is 0.01 μB per cell.



The following is a GGA-PBEsol calculation of an optimized crystal structure of MgMn2MoPd, from Alexandria.

Cell lengths 4.729, 4.729, 4.614 Å; angles 90.00, 90.00, 90.00 degrees
Fractional positions:
Mg (0.000, 0.000, 0.000)
Mn (0.000, 0.500, 0.500)
Mn (0.500, 0.000, 0.500)
Mo (0.500, 0.500, 0.000)
Pd (0.000, 0.000, 0.500)

The calculated density is 5.4 g cm⁻³. The energy of formation comes out at 1.315 eV/atom. For the calculated total energy, the calculation gives -6.478 eV per atom. Its spin magnetization is 5.16 μB per cell.



The following is a GGA-PBEsol calculation of an optimized crystal structure of SrCuSCl2, from Alexandria.

Cell lengths 4.663, 4.663, 4.725 Å; angles 90.00, 90.00, 90.00 degrees
Fractional positions:
Sr (0.000, 0.000, 0.000)
Cu (0.500, 0.500, 0.500)
S (0.500, 0.500, 0.000)
Cl (0.000, 0.500, 0.500)
Cl (0.500, 0.000, 0.500)

The calculated density is 4.1 g cm⁻³. As for the uncorrected formation energy: -1.21 eV per atom. For the calculated total energy, the calculation gives -4.125 eV per atom. Its spin magnetization is 0.00 μB per cell.



The following is a GGA-PBEsol calculation of an optimized crystal structure of Hf2ZrPH, from Alexandria.

Cell lengths 5.094, 5.094, 4.786 Å; angles 90.00, 90.00, 90.00 degrees
Fractional positions:
Hf (0.000, 0.500, 0.000)
Hf (0.500, 0.000, 0.000)
Zr (0.000, 0.000, 0.000)
P (0.000, 0.000, 0.500)
H (0.500, 0.500, 0.500)

The calculated density is 6.4 g cm⁻³. For the calculated total energy, the calculation gives -6.400 eV per atom. Its spin magnetization is 0.00 μB per cell.



The following is a GGA-PBEsol calculation of an optimized crystal structure of Li3Sm3Te2O12, from Alexandria.

Cell lengths 10.767, 10.767, 10.767 Å; angles 109.47, 109.47, 109.47 degrees
Fractional positions:
Li (0.125, 0.750, 0.875)
Li (0.125, 0.875, 0.250)
Li (0.250, 0.125, 0.875)
Li (0.250, 0.625, 0.375)
Li (0.375, 0.250, 0.625)
Li (0.375, 0.625, 0.750)
Li (0.625, 0.375, 0.250)
Li (0.625, 0.750, 0.375)
Li (0.750, 0.375, 0.625)
Li (0.750, 0.875, 0.125)
Li (0.875, 0.125, 0.750)
Li (0.875, 0.250, 0.125)
Sm (0.125, 0.250, 0.375)
Sm (0.125, 0.375, 0.750)
Sm (0.250, 0.375, 0.125)
Sm (0.250, 0.875, 0.625)
Sm (0.375, 0.125, 0.250)
Sm (0.375, 0.750, 0.125)
Sm (0.625, 0.250, 0.875)
Sm (0.625, 0.875, 0.750)
Sm (0.750, 0.125, 0.375)
Sm (0.750, 0.625, 0.875)
Sm (0.875, 0.625, 0.250)
Sm (0.875, 0.750, 0.625)
Te (0.000, 0.000, 0.000)
Te (0.000, 0.000, 0.500)
Te (0.000, 0.500, 0.000)
Te (0.000, 0.500, 0.500)
Te (0.500, 0.000, 0.000)
Te (0.500, 0.000, 0.500)
Te (0.500, 0.500, 0.000)
Te (0.500, 0.500, 0.500)
O (0.025, 0.197, 0.118)
O (0.025, 0.328, 0.907)
O (0.079, 0.697, 0.672)
O (0.079, 0.882, 0.407)
O (0.093, 0.618, 0.421)
O (0.093, 0.975, 0.672)
O (0.118, 0.025, 0.197)
O (0.118, 0.593, 0.921)
O (0.172, 0.197, 0.579)
O (0.172, 0.475, 0.593)
O (0.197, 0.118, 0.025)
O (0.197, 0.579, 0.172)
O (0.303, 0.328, 0.921)
O (0.303, 0.475, 0.382)
O (0.328, 0.907, 0.025)
O (0.328, 0.921, 0.303)
O (0.382, 0.303, 0.475)
O (0.382, 0.579, 0.907)
O (0.407, 0.079, 0.882)
O (0.407, 0.828, 0.525)
O (0.421, 0.093, 0.618)
O (0.421, 0.828, 0.803)
O (0.475, 0.382, 0.303)
O (0.475, 0.593, 0.172)
O (0.525, 0.407, 0.828)
O (0.525, 0.618, 0.697)
O (0.579, 0.172, 0.197)
O (0.579, 0.907, 0.382)
O (0.593, 0.172, 0.475)
O (0.593, 0.921, 0.118)
O (0.618, 0.421, 0.093)
O (0.618, 0.697, 0.525)
O (0.672, 0.079, 0.697)
O (0.672, 0.093, 0.975)
O (0.697, 0.525, 0.618)
O (0.697, 0.672, 0.079)
O (0.803, 0.421, 0.828)
O (0.803, 0.882, 0.975)
O (0.828, 0.525, 0.407)
O (0.828, 0.803, 0.421)
O (0.882, 0.407, 0.079)
O (0.882, 0.975, 0.803)
O (0.907, 0.025, 0.328)
O (0.907, 0.382, 0.579)
O (0.921, 0.118, 0.593)
O (0.921, 0.303, 0.328)
O (0.975, 0.672, 0.093)
O (0.975, 0.803, 0.882)

The calculated density is 6.4 g cm⁻³. As for the uncorrected formation energy: -2.37 eV per atom. For the calculated total energy, the calculation gives -6.932 eV per atom. Its spin magnetization is 0.00 μB per cell.



The following is a GGA-PBEsol calculation of an optimized crystal structure of Li5NiOF5, from Alexandria.

Cell lengths 2.819, 2.819, 12.338 Å; angles 90.00, 90.00, 90.00 degrees
Fractional positions:
Li (0.000, 0.000, 0.000)
Li (0.000, 0.000, 0.329)
Li (0.000, 0.000, 0.671)
Li (0.500, 0.500, 0.161)
Li (0.500, 0.500, 0.839)
Ni (0.500, 0.500, 0.500)
O (0.000, 0.000, 0.500)
F (0.000, 0.000, 0.162)
F (0.000, 0.000, 0.838)
F (0.500, 0.500, 0.000)
F (0.500, 0.500, 0.323)
F (0.500, 0.500, 0.677)

The calculated density is 3.5 g cm⁻³. The value obtained for the energy above the most stable polymorph in this dataset is 0.0 meV per atom. As for the uncorrected formation energy: -2.52 eV per atom. For the calculated total energy, the calculation gives -5.097 eV per atom. Its spin magnetization is 1.38 μB per cell.



The following is a GGA-PBEsol calculation of an optimized crystal structure of Ag3Mo, from Alexandria.

Cell lengths 2.734, 2.734, 8.571 Å; angles 90.00, 90.00, 90.00 degrees
Fractional positions:
Ag (0.000, 0.000, 0.000)
Ag (0.500, 0.500, 0.251)
Ag (0.500, 0.500, 0.749)
Mo (0.000, 0.000, 0.500)

The calculated density is 10.9 g cm⁻³. The value obtained for the energy above the most stable polymorph in this dataset is 0.0 meV per atom. The energy of formation comes out at 0.289 eV/atom. For the calculated total energy, the calculation gives -5.137 eV per atom. Its spin magnetization is 0.00 μB per cell.



The following is a GGA-PBEsol calculation of an optimized crystal structure of AgWS2Cl, from Alexandria.

Cell lengths 4.768, 4.768, 4.563 Å; angles 90.00, 90.00, 90.00 degrees
Fractional positions:
Ag (0.000, 0.000, 0.000)
W (0.500, 0.500, 0.500)
S (0.000, 0.500, 0.000)
S (0.500, 0.000, 0.000)
Cl (0.000, 0.000, 0.500)

The calculated density is 6.3 g cm⁻³. As for the uncorrected formation energy: 1.34 eV per atom. For the calculated total energy, the calculation gives -4.240 eV per atom. Its spin magnetization is 3.45 μB per cell.



The following is a GGA-PBEsol calculation of an optimized crystal structure of NbSi3Te, from Alexandria.

Cell lengths 4.897, 4.897, 4.897 Å; angles 90.00, 90.00, 90.00 degrees
Fractional positions:
Nb (0.000, 0.000, 0.000)
Si (0.000, 0.000, 0.500)
Si (0.000, 0.500, 0.000)
Si (0.500, 0.000, 0.000)
Te (0.500, 0.500, 0.500)

The calculated density is 4.3 g cm⁻³. The value obtained for the energy above the most stable polymorph in this dataset is 0.0 meV per atom. As for the uncorrected formation energy: 0.77 eV per atom. For the calculated total energy, the calculation gives -5.550 eV per atom. Its spin magnetization is 0.00 μB per cell.



The following is a GGA-PBEsol calculation of an optimized crystal structure of KScTl2F6, from Alexandria.

Cell lengths 6.337, 6.337, 6.337 Å; angles 60.00, 60.00, 60.00 degrees
Fractional positions:
K (0.000, 0.000, 0.000)
Sc (0.500, 0.500, 0.500)
Tl (0.250, 0.250, 0.250)
Tl (0.750, 0.750, 0.750)
F (0.276, 0.276, 0.724)
F (0.276, 0.724, 0.276)
F (0.276, 0.724, 0.724)
F (0.724, 0.276, 0.276)
F (0.724, 0.276, 0.724)
F (0.724, 0.724, 0.276)

The calculated density is 5.6 g cm⁻³. As for the uncorrected formation energy: -2.84 eV per atom. For the calculated total energy, the calculation gives -5.293 eV per atom. Its spin magnetization is 0.00 μB per cell.



The following is a GGA-PBEsol calculation of an optimized crystal structure of RbHgSeN2, from Alexandria.

Cell lengths 5.447, 5.447, 6.583 Å; angles 90.00, 90.00, 90.00 degrees
Fractional positions:
Rb (0.000, 0.000, 0.000)
Hg (0.500, 0.500, 0.500)
Se (0.000, 0.000, 0.500)
N (0.000, 0.500, 0.000)
N (0.500, 0.000, 0.000)

The calculated density is 3.3 g cm⁻³. As for the uncorrected formation energy: 2.15 eV per atom. For the calculated total energy, the calculation gives -2.351 eV per atom. Its spin magnetization is 6.97 μB per cell.



The following is a GGA-PBEsol calculation of an optimized crystal structure of AsPt3Br, from Alexandria.

Cell lengths 4.674, 4.674, 4.674 Å; angles 90.00, 90.00, 90.00 degrees
Fractional positions:
As (0.000, 0.000, 0.000)
Pt (0.000, 0.000, 0.500)
Pt (0.000, 0.500, 0.000)
Pt (0.500, 0.000, 0.000)
Br (0.500, 0.500, 0.500)

The calculated density is 12.0 g cm⁻³. As for the uncorrected formation energy: 0.78 eV per atom. For the calculated total energy, the calculation gives -4.797 eV per atom. Its spin magnetization is 0.00 μB per cell.



The following is a GGA-PBEsol calculation of an optimized crystal structure of Ba2LuBiO6, from Alexandria.

Cell lengths 6.014, 6.014, 6.014 Å; angles 60.00, 60.00, 60.00 degrees
Fractional positions:
Ba (0.250, 0.250, 0.250)
Ba (0.750, 0.750, 0.750)
Lu (0.000, 0.000, 0.000)
Bi (0.500, 0.500, 0.500)
O (0.252, 0.252, 0.748)
O (0.252, 0.748, 0.252)
O (0.252, 0.748, 0.748)
O (0.748, 0.252, 0.252)
O (0.748, 0.252, 0.748)
O (0.748, 0.748, 0.252)

The calculated density is 8.1 g cm⁻³. As for the uncorrected formation energy: -2.50 eV per atom. For the calculated total energy, the calculation gives -6.996 eV per atom. Its spin magnetization is 0.00 μB per cell.



The following is a GGA-PBEsol calculation of an optimized crystal structure of ZnCuAu2, from Alexandria.

Cell lengths 3.626, 3.966, 8.227 Å; angles 90.00, 90.00, 90.00 degrees
Fractional positions:
Zn (0.000, 0.000, 0.000)
Zn (0.500, 0.500, 0.500)
Cu (0.000, 0.500, 0.265)
Cu (0.500, 0.000, 0.765)
Au (0.000, 0.000, 0.511)
Au (0.000, 0.500, 0.751)
Au (0.500, 0.000, 0.251)
Au (0.500, 0.500, 0.011)

The calculated density is 14.7 g cm⁻³. The energy of formation comes out at -0.138 eV/atom. For the calculated total energy, the calculation gives -3.579 eV per atom. Its spin magnetization is 0.00 μB per cell.



The following is a GGA-PBEsol calculation of an optimized crystal structure of AlP2I, from Alexandria.

Cell lengths 6.684, 6.684, 6.684 Å; angles 90.00, 90.00, 90.00 degrees
Fractional positions:
Al (0.000, 0.000, 0.000)
Al (0.000, 0.500, 0.500)
Al (0.500, 0.000, 0.500)
Al (0.500, 0.500, 0.000)
P (0.250, 0.250, 0.250)
P (0.250, 0.250, 0.750)
P (0.250, 0.750, 0.250)
P (0.250, 0.750, 0.750)
P (0.750, 0.250, 0.250)
P (0.750, 0.250, 0.750)
P (0.750, 0.750, 0.250)
P (0.750, 0.750, 0.750)
I (0.000, 0.000, 0.500)
I (0.000, 0.500, 0.000)
I (0.500, 0.000, 0.000)
I (0.500, 0.500, 0.500)

The calculated density is 4.8 g cm⁻³. As for the uncorrected formation energy: 0.72 eV per atom. For the calculated total energy, the calculation gives -3.642 eV per atom. Its spin magnetization is 0.00 μB per cell.